[1]
DFT (PBE) results for CaPrRu after structural relaxation.

Calculated values
Energy of formation ... 2 kJ per mole of atoms
E above lowest polymorph ... 26 meV per atom

The structure in POSCAR format:
```
CaPrRu
1.0
7.930 0.000 0.000
3.965 8.076 0.477
3.965 3.139 7.457
Ca Pr Ru
6 6 6
Direct
0.257 0.952 0.452
0.662 0.048 0.548
0.662 0.547 0.047
0.257 0.453 0.953
0.851 0.251 0.751
0.852 0.749 0.249
0.523 0.500 0.500
0.523 0.000 0.000
0.257 0.868 0.867
0.991 0.132 0.133
0.991 0.633 0.632
0.257 0.367 0.368
0.257 0.750 0.250
0.256 0.250 0.750
0.590 0.668 0.665
0.924 0.332 0.335
0.924 0.835 0.832
0.590 0.165 0.168
```



[2]
DFT (PBE) results for SmDy3Ho6 after structural relaxation.

Calculated values
Energy of formation ... 27 kJ per mole of atoms
E above lowest polymorph ... 135 meV per atom

The structure in POSCAR format:
```
SmDy3Ho6
1.0
-9.697 0.998 0.747
-5.606 -7.833 1.675
-4.748 -1.713 4.634
Sm Dy Ho
1 3 6
Direct
0.896 0.896 0.311
0.395 0.395 0.816
0.639 0.639 0.084
0.142 0.142 0.574
0.908 0.570 0.287
0.235 0.908 0.287
0.570 0.235 0.287
0.072 0.409 0.785
0.734 0.072 0.785
0.409 0.734 0.785
```



[3]
DFT (PBE) results for Ta2TlTcC after structural relaxation.

Calculated values
Energy of formation ... 224 kJ per mole of atoms

The structure in POSCAR format:
```
Ta2TlTcC
1.0
4.767 0.000 0.000
0.000 5.164 0.000
0.000 0.000 4.767
C Tl Tc Ta
1 1 1 2
Direct
0.500 0.500 0.500
0.000 0.500 0.000
0.000 0.000 0.000
0.000 0.000 0.500
0.500 0.000 0.000
```